Material: TaOs3
Method: DFT, PBEsol
State: optimized geometry

Unit cell a=4.4298 b=4.8512 c=5.5116 alpha=90.00 beta=90.00 gamma=90.00
Atoms (fractional coordinates):
Os 0.5000 0.3244 0.0000
Os 0.0000 0.6756 0.5000
Os 0.0000 0.1572 0.7481
Os 0.0000 0.1572 0.2519
Os 0.5000 0.8428 0.2481
Os 0.5000 0.8428 0.7519
Ta 0.0000 0.6486 0.0000
Ta 0.5000 0.3514 0.5000

* energy of formation from the pure elements: -0.095 eV/atom
* D(E_F): 4.4 states/eV/f.u.
* space-group type: No. 59